An optimized crystal structure of AcCo4Pd3O12. Source: Alexandria, functional PBE+U.

```
AcCo4Pd3O12
1.0
-3.774 3.774 3.774
3.774 -3.774 3.774
3.774 3.774 -3.774
Ac Co Pd O
1 4 3 12
Direct
0.000 0.000 0.000
0.000 0.000 0.500
0.000 0.500 0.000
0.500 0.000 0.000
0.500 0.500 0.500
0.000 0.500 0.500
0.500 0.000 0.500
0.500 0.500 0.000
0.123 0.817 0.305
0.183 0.305 0.488
0.183 0.695 0.877
0.305 0.123 0.817
0.305 0.488 0.183
0.488 0.183 0.305
0.512 0.817 0.695
0.695 0.512 0.817
0.695 0.877 0.183
0.817 0.305 0.123
0.817 0.695 0.512
0.877 0.183 0.695
```

## Properties
Energy ... -5.972 eV per atom
Crystal system ... cubic
Fermi-level density of states ... 9.23 states/eV per cell
Space group ... Im-3 (204)

***

An optimized crystal structure of AcCo3Pd4O12. Source: Alexandria, functional PBE+U.

```
AcCo3Pd4O12
1.0
-3.851 3.851 3.851
3.851 -3.851 3.851
3.851 3.851 -3.851
Ac Co Pd O
1 3 4 12
Direct
0.000 0.000 0.000
0.000 0.500 0.500
0.500 0.000 0.500
0.500 0.500 0.000
0.000 0.000 0.500
0.000 0.500 0.000
0.500 0.000 0.000
0.500 0.500 0.500
0.141 0.312 0.829
0.171 0.483 0.312
0.171 0.859 0.688
0.312 0.171 0.483
0.312 0.829 0.141
0.483 0.312 0.171
0.517 0.688 0.829
0.688 0.171 0.859
0.688 0.829 0.517
0.829 0.141 0.312
0.829 0.517 0.688
0.859 0.688 0.171
```

## Properties
Energy ... -5.922 eV per atom
Crystal system ... cubic
Fermi-level density of states ... 7.11 states/eV per cell
Space group ... Im-3 (204)

***

An optimized crystal structure of Ac2CoPdO6. Source: Alexandria, functional PBE+U.

```
Ac2CoPdO6
1.0
5.734 0.000 0.000
0.000 5.752 0.000
-5.734 0.000 8.081
Ac Co Pd O
4 2 2 12
Direct
0.244 0.033 0.250
0.244 0.467 0.750
0.756 0.533 0.250
0.756 0.967 0.750
0.500 0.000 0.000
0.500 0.500 0.500
0.000 0.000 0.500
0.000 0.500 0.000
0.177 0.218 0.961
0.177 0.282 0.461
0.247 0.715 0.963
0.247 0.785 0.463
0.321 0.015 0.750
0.321 0.485 0.250
0.679 0.515 0.750
0.679 0.985 0.250
0.753 0.215 0.537
0.753 0.285 0.037
0.823 0.718 0.539
0.823 0.782 0.039
```

## Properties
Energy ... -6.923 eV per atom
Crystal system ... monoclinic
Space group ... P2_1/c (14)

***

The lowest energy belongs to which entry? Ac2CoPdO6

***

What did the third record say?
An optimized crystal structure of Ac2CoPdO6. Source: Alexandria, functional PBE+U.

```
Ac2CoPdO6
1.0
5.734 0.000 0.000
0.000 5.752 0.000
-5.734 0.000 8.081
Ac Co Pd O
4 2 2 12
Direct
0.244 0.033 0.250
0.244 0.467 0.750
0.756 0.533 0.250
0.756 0.967 0.750
0.500 0.000 0.000
0.500 0.500 0.500
0.000 0.000 0.500
0.000 0.500 0.000
0.177 0.218 0.961
0.177 0.282 0.461
0.247 0.715 0.963
0.247 0.785 0.463
0.321 0.015 0.750
0.321 0.485 0.250
0.679 0.515 0.750
0.679 0.985 0.250
0.753 0.215 0.537
0.753 0.285 0.037
0.823 0.718 0.539
0.823 0.782 0.039
```

## Properties
Energy ... -6.923 eV per atom
Crystal system ... monoclinic
Space group ... P2_1/c (14)

***

What is the energy in the third record? -6.923 eV per atom

***

The lowest energy belongs to which entry? Ac2CoPdO6